No. 1
Density functional theory data (PBE-GGA) for an optimized crystal structure of KCoRu.

**M_tot**: 3.1 μB/cell
**Symmetry**: P-1
**Crystal system**: triclinic
**Energy of formation from the pure elements**: 0.590 eV/atom

POSCAR file:
```
KCoRu
1.0
10.9588 -0.0273 0.0053
-0.3095 3.8737 -0.0013
0.8799 -1.8768 4.0123
Co Ru K
2 2 2
direct
0.5965 0.4454 0.8461
0.4035 0.5546 0.1539
0.5167 0.1532 0.2989
0.4833 0.8468 0.7011
0.8002 0.7446 0.3480
0.1998 0.2554 0.6520
```


No. 2
Density functional theory data (PBE-GGA) for an optimized crystal structure of KCoRu.

**M_tot**: 3.6 μB/cell
**Symmetry**: P1
**Crystal system**: triclinic
**Energy of formation from the pure elements**: 0.598 eV/atom

POSCAR file:
```
KCoRu
1.0
11.2101 -0.0356 0.0191
-0.7304 4.1624 0.0001
0.0722 2.1561 3.6341
Ru K Co
2 2 2
direct
0.3668 0.7029 0.1446
0.3668 0.3695 0.8112
0.0575 0.1682 0.9273
0.6762 0.5711 0.6965
0.2675 0.9713 0.5151
0.4661 0.1008 0.4409
```


No. 3
Density functional theory data (PBE-GGA) for an optimized crystal structure of KCoRu.

**M_tot**: 4.8 μB/cell
**Symmetry**: P6_3/mmc
**Crystal system**: hexagonal
**Energy of formation from the pure elements**: 1.792 eV/atom

POSCAR file:
```
KCoRu
1.0
-1.7481 5.0653 -1.7920
-0.7156 -4.5540 -3.2669
-7.6795 -1.3764 3.6007
Co Ru K
2 2 2
direct
0.0000 0.0000 0.2500
0.0000 0.0000 0.7500
0.0000 0.0000 0.5000
0.0000 0.0000 0.0000
0.3333 0.6667 0.2500
0.6667 0.3333 0.7500
```


No. 4
Density functional theory data (PBE-GGA) for an optimized crystal structure of KCoRu.

**M_tot**: 7.4 μB/cell
**Symmetry**: P6_3mc
**Crystal system**: hexagonal
**Energy of formation from the pure elements**: 1.369 eV/atom

POSCAR file:
```
KCoRu
1.0
4.2312 -2.4429 0.0000
0.0000 4.8858 0.0000
0.0000 0.0000 5.5062
K Co Ru
2 2 2
direct
0.0000 0.0000 0.7512
0.0000 0.0000 0.2512
0.6667 0.3333 0.5307
0.3333 0.6667 0.0307
0.6667 0.3333 0.9681
0.3333 0.6667 0.4681
```


No. 5
Density functional theory data (PBE-GGA) for an optimized crystal structure of KCoRu.

**M_tot**: 0.0 μB/cell
**Symmetry**: P1
**Crystal system**: triclinic
**Energy of formation from the pure elements**: 0.637 eV/atom

POSCAR file:
```
KCoRu
1.0
4.9656 -0.0008 -0.0008
1.0591 10.2242 -0.0790
-2.4739 -0.3534 3.6407
Ru Co K
2 2 2
direct
0.1471 0.6855 0.7522
0.6398 0.7904 0.2816
0.1384 0.7742 0.2742
0.6431 0.7021 0.7521
0.1500 0.0333 0.8336
0.7114 0.4428 0.1481
```


No. 6
Density functional theory data (PBE-GGA) for an optimized crystal structure of KCoRu.

**M_tot**: 0.0 μB/cell
**Symmetry**: P-1
**Crystal system**: triclinic
**Energy of formation from the pure elements**: 0.637 eV/atom

POSCAR file:
```
KCoRu
1.0
10.3680 0.0169 0.0044
-0.7456 4.3493 0.0049
0.5673 -1.5451 4.0933
K Co Ru
2 2 2
direct
0.7954 0.7141 0.7687
0.2046 0.2859 0.2313
0.4641 0.9849 0.2569
0.5359 0.0151 0.7431
0.4473 0.4862 0.7589
0.5527 0.5138 0.2411
```


No. 7
Density functional theory data (PBE-GGA) for an optimized crystal structure of KCoRu.

**M_tot**: 1.9 μB/cell
**Symmetry**: P2_1/m
**Crystal system**: monoclinic
**Energy of formation from the pure elements**: 0.614 eV/atom

POSCAR file:
```
KCoRu
1.0
-6.9170 -2.5586 0.0910
0.5775 -3.1777 -3.6908
1.0627 -2.7834 2.5627
Ru Co K
2 2 2
direct
0.4798 0.0644 0.9540
0.3399 0.3359 0.4539
0.3808 0.8278 0.4539
0.4390 0.5725 0.9539
0.7754 0.4695 0.4542
0.0444 0.9297 0.9543
```


No. 8
Density functional theory data (PBE-GGA) for an optimized crystal structure of KCoRu.

**M_tot**: 3.6 μB/cell
**Symmetry**: F-43m
**Crystal system**: cubic
**Energy of formation from the pure elements**: 2.490 eV/atom

POSCAR file:
```
KCoRu
1.0
4.5433 0.0000 0.0000
2.2717 3.9346 0.0000
2.2717 1.3115 3.7096
Ru K Co
1 1 1
direct
0.0000 0.0000 0.0000
0.7500 0.7500 0.7500
0.5000 0.5000 0.5000
```


No. 9
Density functional theory data (PBE-GGA) for an optimized crystal structure of KCoRu2.

**M_tot**: 1.9 μB/cell
**Symmetry**: R-3m
**Crystal system**: trigonal
**Energy of formation from the pure elements**: 0.802 eV/atom

POSCAR file:
```
KCoRu2
1.0
-4.8796 -5.8967 -6.4378
-4.5167 -7.7408 -4.4391
-6.6695 -6.0418 -4.3636
K Co Ru
1 1 2
direct
0.7500 0.7500 0.7500
0.2500 0.2500 0.2500
0.5159 0.5159 0.5159
0.9841 0.9841 0.9841
```


No. 10
Density functional theory data (PBE-GGA) for an optimized crystal structure of KCoRu.

**M_tot**: 0.7 μB/cell
**Symmetry**: P6_3/mmc
**Crystal system**: hexagonal
**Energy of formation from the pure elements**: 0.958 eV/atom

POSCAR file:
```
KCoRu
1.0
-2.2709 -1.6569 -2.6445
2.7561 -2.0643 1.7431
-7.2407 -2.8888 8.0276
Co K Ru
2 2 2
direct
0.3333 0.6667 0.2500
0.6667 0.3333 0.7500
0.0000 0.0000 0.0000
0.0000 0.0000 0.5000
0.3333 0.6667 0.7500
0.6667 0.3333 0.2500
```


No. 11
Density functional theory data (PBE-GGA) for an optimized crystal structure of KCoRu2.

**M_tot**: 3.3 μB/cell
**Symmetry**: Pmmm
**Crystal system**: orthorhombic
**Energy of formation from the pure elements**: 1.299 eV/atom

POSCAR file:
```
KCoRu2
1.0
2.6806 0.0000 0.0000
0.0000 4.8831 0.0000
0.0000 0.0000 5.0349
Ru K Co
2 1 1
direct
0.0000 0.0000 0.0000
0.5000 0.5000 0.0000
0.0000 0.5000 0.5000
0.5000 0.0000 0.5000
```


No. 12
Density functional theory data (PBE-GGA) for an optimized crystal structure of KCoRu.

**M_tot**: 3.5 μB/cell
**Symmetry**: F-43m
**Crystal system**: cubic
**Energy of formation from the pure elements**: 1.631 eV/atom

POSCAR file:
```
KCoRu
1.0
0.0000 3.1524 3.1524
3.1524 0.0000 3.1524
3.1524 3.1524 0.0000
Ru K Co
1 1 1
direct
0.7500 0.7500 0.7500
0.2500 0.2500 0.2500
0.0000 0.0000 0.0000
```